1.
Density functional theory data (GGA-PBE) for crystalline Rb2BePBr6 at its relaxed geometry.

Lattice parameters (Å, degrees): 7.326 7.326 7.575 61.08 61.08 90.00
Fractional positions:
P  0.000  0.000  0.000
Br  0.231  0.231  0.538
Br  0.769  0.769  0.462
Br  0.270  0.270  0.000
Br  0.730  0.730  0.000
Br  0.730  0.270  0.000
Br  0.270  0.730  0.000
Rb  0.750  0.250  0.500
Rb  0.250  0.750  0.500
Be  0.500  0.500  0.000

Results
Volume in Å³ per atom: 29.661
Raw total energy in eV per cell: -29.23
Spin magnetization in μB/cell: 0.00
SG: I4/mmm (139)
DOS(E_F) in states/eV per cell: 3.7
Uncorrected formation energy in eV per atom: -0.81


2.
Density functional theory data (GGA-PBE) for crystalline Pr2Er2S3 at its relaxed geometry.

Lattice parameters (Å, degrees): 3.880 6.777 6.955 98.63 90.00 106.57
Fractional positions:
Pr  0.876  0.753  0.615
Pr  0.124  0.247  0.385
Er  0.628  0.255  0.888
Er  0.372  0.745  0.112
S  0.000  0.000  0.000
S  0.752  0.503  0.233
S  0.248  0.497  0.767

Results
Volume in Å³ per atom: 24.728
Raw total energy in eV per cell: -42.96
Spin magnetization in μB/cell: 0.00
SG: P-1 (2)
DOS(E_F) in states/eV per cell: 3.1
Uncorrected formation energy in eV per atom: -1.70


3.
Density functional theory data (GGA-PBE) for crystalline K2TlZnAu at its relaxed geometry.

Lattice parameters (Å, degrees): 6.298 4.972 6.298 90.00 90.00 90.00
Fractional positions:
K  0.000  0.000  0.500
K  0.500  0.000  0.000
Tl  0.500  0.500  0.500
Au  0.000  0.000  0.000
Zn  0.000  0.500  0.000

Results
Volume in Å³ per atom: 39.439
Raw total energy in eV per cell: -9.09
Spin magnetization in μB/cell: 0.00
Energy relative to the lowest polymorph listed for this composition in meV/atom: 0
SG: P4/mmm (123)
DOS(E_F) in states/eV per cell: 3.5
Formation energy from the elements in eV per atom: 0.0047


4.
Density functional theory data (GGA-PBE) for crystalline Fe3Ir at its relaxed geometry.

Lattice parameters (Å, degrees): 4.198 4.897 2.910 72.72 90.00 115.38
Site moments in Bohr magnetons follow the coordinates.
Fractional positions:
Ir  0.750  0.500  0.750  0.67
Fe  0.006  0.012  0.994  2.77
Fe  0.250  0.500  0.250  2.69
Fe  0.494  0.988  0.506  2.77

Results
Volume in Å³ per atom: 12.760
Raw total energy in eV per cell: -34.40
Spin magnetization in μB/cell: 8.89
SG: Immm (71)
DOS(E_F) in states/eV per cell: 2.9
Formation energy from the elements in eV per atom: -0.0379


5.
Density functional theory data (GGA-PBE) for crystalline Ca2AlZn4Si3 at its relaxed geometry.

Lattice parameters (Å, degrees): 4.142 4.142 10.742 90.00 90.00 90.00
Fractional positions:
Ca  0.500  0.000  0.244
Ca  0.000  0.500  0.756
Al  0.500  0.500  0.500
Zn  0.500  0.500  0.000
Zn  0.000  0.000  0.000
Zn  0.500  0.000  0.641
Zn  0.000  0.500  0.359
Si  0.000  0.000  0.500
Si  0.500  0.000  0.865
Si  0.000  0.500  0.135

Results
Volume in Å³ per atom: 18.428
Raw total energy in eV per cell: -32.02
Spin magnetization in μB/cell: 0.00
SG: P-4m2 (115)
DOS(E_F) in states/eV per cell: 1.7
Uncorrected formation energy in eV per atom: -0.29


6.
Density functional theory data (GGA-PBE) for crystalline Ce5Tl4Hg at its relaxed geometry.

Lattice parameters (Å, degrees): 3.455 3.455 23.420 90.00 90.00 90.00
Site moments in Bohr magnetons follow the coordinates.
Fractional positions:
Ce  0.500  0.500  0.096  0.86
Ce  0.500  0.500  0.298  0.97
Ce  0.500  0.500  0.500  0.97
Ce  0.500  0.500  0.702  0.97
Ce  0.500  0.500  0.904  0.86
Tl  0.000  0.000  0.197  0.00
Tl  0.000  0.000  0.399  0.00
Tl  0.000  0.000  0.601  0.00
Tl  0.000  0.000  0.803  0.00
Hg  0.000  0.000  0.000  0.00

Results
Volume in Å³ per atom: 27.964
Raw total energy in eV per cell: -41.96
Spin magnetization in μB/cell: 6.16
SG: P4/mmm (123)
DOS(E_F) in states/eV per cell: 31.1
Formation energy from the elements in eV per atom: -0.2523


The highest volume belongs to which entry? K2TlZnAu